1.
# HfMg3Pb

HfMg3Pb at its PBEsol-relaxed geometry (meta-GGA SCAN, Alexandria).

Properties
space-group type	Pm-3m, No. 221
formation energy from the elements	825.4	meV/atom

Geometry as CIF:
```
data_HfMg3Pb
_chemical_formula_sum 'Hf1 Mg3 Pb1'
_symmetry_space_group_name_H-M 'P 1'
_symmetry_Int_Tables_number 1
_cell_length_a 5.2305
_cell_length_b 5.2305
_cell_length_c 5.2305
_cell_angle_alpha 90.00
_cell_angle_beta 90.00
_cell_angle_gamma 90.00
loop_
_symmetry_equiv_pos_as_xyz
'x,y,z'
loop_
_atom_site_label
_atom_site_fract_x
_atom_site_fract_y
_atom_site_fract_z
Mg1 0.0000 0.0000 0.5000
Hf1 0.5000 0.5000 0.5000
Pb1 0.0000 0.0000 0.0000
Mg2 0.0000 0.5000 0.0000
Mg3 0.5000 0.0000 0.0000
```



2.
# HfMg2ScPb

HfMg2ScPb at its PBEsol-relaxed geometry (meta-GGA SCAN, Alexandria).

Properties
space-group type	P4/mmm, No. 123
formation energy from the elements	646.1	meV/atom

Geometry as CIF:
```
data_HfMg2ScPb
_chemical_formula_sum 'Hf1 Mg2 Sc1 Pb1'
_symmetry_space_group_name_H-M 'P 1'
_symmetry_Int_Tables_number 1
_cell_length_a 5.1496
_cell_length_b 5.1496
_cell_length_c 5.4807
_cell_angle_alpha 90.00
_cell_angle_beta 90.00
_cell_angle_gamma 90.00
loop_
_symmetry_equiv_pos_as_xyz
'x,y,z'
loop_
_atom_site_label
_atom_site_fract_x
_atom_site_fract_y
_atom_site_fract_z
Sc1 0.5000 0.5000 0.5000
Hf1 0.0000 0.0000 0.5000
Mg1 0.0000 0.5000 0.0000
Mg2 0.5000 0.0000 0.0000
Pb1 0.0000 0.0000 0.0000
```



3.
# HfMg2Pt2

HfMg2Pt2 at its PBEsol-relaxed geometry (meta-GGA SCAN, Alexandria).

Properties
space-group type	I4/mmm, No. 139
formation energy from the elements	-772.3	meV/atom

Geometry as CIF:
```
data_HfMg2Pt2
_chemical_formula_sum 'Hf1 Mg2 Pt2'
_symmetry_space_group_name_H-M 'P 1'
_symmetry_Int_Tables_number 1
_cell_length_a 3.6824
_cell_length_b 3.6824
_cell_length_c 7.0494
_cell_angle_alpha 105.14
_cell_angle_beta 105.14
_cell_angle_gamma 90.00
loop_
_symmetry_equiv_pos_as_xyz
'x,y,z'
loop_
_atom_site_label
_atom_site_fract_x
_atom_site_fract_y
_atom_site_fract_z
Pt1 0.4002 0.4002 0.8005
Hf1 0.0000 0.0000 0.0000
Pt2 0.5998 0.5998 0.1995
Mg1 0.7500 0.2500 0.5000
Mg2 0.2500 0.7500 0.5000
```



4.
# HfMgPt3

HfMgPt3 at its PBEsol-relaxed geometry (meta-GGA SCAN, Alexandria).

Properties
space-group type	Pm-3m, No. 221
formation energy from the elements	272.5	meV/atom

Geometry as CIF:
```
data_HfMgPt3
_chemical_formula_sum 'Hf1 Mg1 Pt3'
_symmetry_space_group_name_H-M 'P 1'
_symmetry_Int_Tables_number 1
_cell_length_a 4.5082
_cell_length_b 4.5082
_cell_length_c 4.5082
_cell_angle_alpha 90.00
_cell_angle_beta 90.00
_cell_angle_gamma 90.00
loop_
_symmetry_equiv_pos_as_xyz
'x,y,z'
loop_
_atom_site_label
_atom_site_fract_x
_atom_site_fract_y
_atom_site_fract_z
Pt1 0.5000 0.0000 0.0000
Pt2 0.0000 0.5000 0.0000
Mg1 0.0000 0.0000 0.0000
Pt3 0.0000 0.0000 0.5000
Hf1 0.5000 0.5000 0.5000
```



5.
# RbHfMg3

RbHfMg3 at its PBEsol-relaxed geometry (meta-GGA SCAN, Alexandria).

Properties
space-group type	Pm-3m, No. 221
relative energy among the computed polymorphs	0	meV per atom
formation energy from the elements	902.1	meV/atom

Geometry as CIF:
```
data_RbHfMg3
_chemical_formula_sum 'Rb1 Hf1 Mg3'
_symmetry_space_group_name_H-M 'P 1'
_symmetry_Int_Tables_number 1
_cell_length_a 5.7822
_cell_length_b 5.7822
_cell_length_c 5.7822
_cell_angle_alpha 90.00
_cell_angle_beta 90.00
_cell_angle_gamma 90.00
loop_
_symmetry_equiv_pos_as_xyz
'x,y,z'
loop_
_atom_site_label
_atom_site_fract_x
_atom_site_fract_y
_atom_site_fract_z
Hf1 0.0000 0.0000 0.0000
Mg1 0.0000 0.0000 0.5000
Mg2 0.5000 0.0000 0.0000
Mg3 0.0000 0.5000 0.0000
Rb1 0.5000 0.5000 0.5000
```



6.
# RbHfMg2

RbHfMg2 at its PBEsol-relaxed geometry (meta-GGA SCAN, Alexandria).

Properties
space-group type	I-42d, No. 122
formation energy from the elements	1092.7	meV/atom

Geometry as CIF:
```
data_RbHfMg2
_chemical_formula_sum 'Rb2 Hf2 Mg4'
_symmetry_space_group_name_H-M 'P 1'
_symmetry_Int_Tables_number 1
_cell_length_a 6.7704
_cell_length_b 6.9795
_cell_length_c 6.9795
_cell_angle_alpha 76.39
_cell_angle_beta 60.99
_cell_angle_gamma 60.99
loop_
_symmetry_equiv_pos_as_xyz
'x,y,z'
loop_
_atom_site_label
_atom_site_fract_x
_atom_site_fract_y
_atom_site_fract_z
Mg1 0.8750 0.4660 0.0340
Mg2 0.6590 0.9660 0.4660
Rb1 0.2500 0.5000 0.5000
Hf1 0.0000 0.0000 0.0000
Hf2 0.7500 0.5000 0.5000
Mg3 0.0910 0.0340 0.5340
Rb2 0.5000 0.0000 0.0000
Mg4 0.3750 0.5340 0.9660
```



7.
# RbHfMg3

RbHfMg3 at its PBEsol-relaxed geometry (meta-GGA SCAN, Alexandria).

Properties
space-group type	Pm-3m, No. 221
relative energy among the computed polymorphs	855	meV per atom
formation energy from the elements	1756.8	meV/atom

Geometry as CIF:
```
data_RbHfMg3
_chemical_formula_sum 'Rb1 Hf1 Mg3'
_symmetry_space_group_name_H-M 'P 1'
_symmetry_Int_Tables_number 1
_cell_length_a 5.2971
_cell_length_b 5.2971
_cell_length_c 5.2971
_cell_angle_alpha 90.00
_cell_angle_beta 90.00
_cell_angle_gamma 90.00
loop_
_symmetry_equiv_pos_as_xyz
'x,y,z'
loop_
_atom_site_label
_atom_site_fract_x
_atom_site_fract_y
_atom_site_fract_z
Rb1 0.0000 0.0000 0.0000
Mg1 0.0000 0.0000 0.5000
Hf1 0.5000 0.5000 0.5000
Mg2 0.0000 0.5000 0.0000
Mg3 0.5000 0.0000 0.0000
```



8.
# HfMg3Rh

HfMg3Rh at its PBEsol-relaxed geometry (meta-GGA SCAN, Alexandria).

Properties
space-group type	Pm-3m, No. 221
formation energy from the elements	289.4	meV/atom

Geometry as CIF:
```
data_HfMg3Rh
_chemical_formula_sum 'Hf1 Mg3 Rh1'
_symmetry_space_group_name_H-M 'P 1'
_symmetry_Int_Tables_number 1
_cell_length_a 4.7606
_cell_length_b 4.7606
_cell_length_c 4.7606
_cell_angle_alpha 90.00
_cell_angle_beta 90.00
_cell_angle_gamma 90.00
loop_
_symmetry_equiv_pos_as_xyz
'x,y,z'
loop_
_atom_site_label
_atom_site_fract_x
_atom_site_fract_y
_atom_site_fract_z
Rh1 0.0000 0.0000 0.0000
Mg1 0.0000 0.5000 0.0000
Mg2 0.5000 0.0000 0.0000
Mg3 0.0000 0.0000 0.5000
Hf1 0.5000 0.5000 0.5000
```



9.
# Hf3MgRh

Hf3MgRh at its PBEsol-relaxed geometry (meta-GGA SCAN, Alexandria).

Properties
space-group type	Pm-3m, No. 221
formation energy from the elements	178.9	meV/atom

Geometry as CIF:
```
data_Hf3MgRh
_chemical_formula_sum 'Hf3 Mg1 Rh1'
_symmetry_space_group_name_H-M 'P 1'
_symmetry_Int_Tables_number 1
_cell_length_a 4.9436
_cell_length_b 4.9436
_cell_length_c 4.9436
_cell_angle_alpha 90.00
_cell_angle_beta 90.00
_cell_angle_gamma 90.00
loop_
_symmetry_equiv_pos_as_xyz
'x,y,z'
loop_
_atom_site_label
_atom_site_fract_x
_atom_site_fract_y
_atom_site_fract_z
Hf1 0.0000 0.0000 0.5000
Mg1 0.5000 0.5000 0.5000
Hf2 0.5000 0.0000 0.0000
Hf3 0.0000 0.5000 0.0000
Rh1 0.0000 0.0000 0.0000
```



10.
# HfMg2RuW

HfMg2RuW at its PBEsol-relaxed geometry (meta-GGA SCAN, Alexandria).

Properties
space-group type	P4/mmm, No. 123
formation energy from the elements	1326.6	meV/atom

Geometry as CIF:
```
data_HfMg2RuW
_chemical_formula_sum 'Hf1 Mg2 Ru1 W1'
_symmetry_space_group_name_H-M 'P 1'
_symmetry_Int_Tables_number 1
_cell_length_a 4.5164
_cell_length_b 4.9141
_cell_length_c 4.9141
_cell_angle_alpha 90.00
_cell_angle_beta 90.00
_cell_angle_gamma 90.00
loop_
_symmetry_equiv_pos_as_xyz
'x,y,z'
loop_
_atom_site_label
_atom_site_fract_x
_atom_site_fract_y
_atom_site_fract_z
Ru1 0.5000 0.0000 0.0000
W1 0.0000 0.0000 0.0000
Hf1 0.5000 0.5000 0.5000
Mg1 0.0000 0.5000 0.0000
Mg2 0.0000 0.0000 0.5000
```



11.
# HfMg2S

HfMg2S at its PBEsol-relaxed geometry (meta-GGA SCAN, Alexandria).

Properties
ΔE_f (raw)	2.00	eV/f.u.
space-group type	Fm-3m, No. 225

Geometry as CIF:
```
data_HfMg2S
_chemical_formula_sum 'Hf1 Mg2 S1'
_symmetry_space_group_name_H-M 'P 1'
_symmetry_Int_Tables_number 1
_cell_length_a 4.8644
_cell_length_b 4.8644
_cell_length_c 4.8644
_cell_angle_alpha 60.00
_cell_angle_beta 60.00
_cell_angle_gamma 60.00
loop_
_symmetry_equiv_pos_as_xyz
'x,y,z'
loop_
_atom_site_label
_atom_site_fract_x
_atom_site_fract_y
_atom_site_fract_z
Hf1 0.5000 0.5000 0.5000
S1 0.0000 0.0000 0.0000
Mg1 0.7500 0.7500 0.7500
Mg2 0.2500 0.2500 0.2500
```



12.
# HfMgSb2Te

HfMgSb2Te at its PBEsol-relaxed geometry (meta-GGA SCAN, Alexandria).

Properties
ΔE_f (raw)	4.06	eV/f.u.
space-group type	P4/mmm, No. 123

Geometry as CIF:
```
data_HfMgSb2Te
_chemical_formula_sum 'Hf1 Mg1 Sb2 Te1'
_symmetry_space_group_name_H-M 'P 1'
_symmetry_Int_Tables_number 1
_cell_length_a 5.1380
_cell_length_b 5.1380
_cell_length_c 5.3151
_cell_angle_alpha 90.00
_cell_angle_beta 90.00
_cell_angle_gamma 90.00
loop_
_symmetry_equiv_pos_as_xyz
'x,y,z'
loop_
_atom_site_label
_atom_site_fract_x
_atom_site_fract_y
_atom_site_fract_z
Sb1 0.0000 0.5000 0.0000
Mg1 0.0000 0.0000 0.0000
Hf1 0.5000 0.5000 0.5000
Te1 0.0000 0.0000 0.5000
Sb2 0.5000 0.0000 0.0000
```



13.
# HfMg2Sc2

HfMg2Sc2 at its PBEsol-relaxed geometry (meta-GGA SCAN, Alexandria).

Properties
space-group type	I4/mmm, No. 139
formation energy from the elements	541.4	meV/atom

Geometry as CIF:
```
data_HfMg2Sc2
_chemical_formula_sum 'Hf1 Mg2 Sc2'
_symmetry_space_group_name_H-M 'P 1'
_symmetry_Int_Tables_number 1
_cell_length_a 3.9705
_cell_length_b 3.9705
_cell_length_c 7.8149
_cell_angle_alpha 104.72
_cell_angle_beta 104.72
_cell_angle_gamma 90.00
loop_
_symmetry_equiv_pos_as_xyz
'x,y,z'
loop_
_atom_site_label
_atom_site_fract_x
_atom_site_fract_y
_atom_site_fract_z
Hf1 0.0000 0.0000 0.0000
Sc1 0.7500 0.2500 0.5000
Mg1 0.5935 0.5935 0.1870
Mg2 0.4065 0.4065 0.8130
Sc2 0.2500 0.7500 0.5000
```



14.
# HfMg3Sc

HfMg3Sc at its PBEsol-relaxed geometry (meta-GGA SCAN, Alexandria).

Properties
space-group type	Pm-3m, No. 221
formation energy from the elements	1327.6	meV/atom

Geometry as CIF:
```
data_HfMg3Sc
_chemical_formula_sum 'Hf1 Mg3 Sc1'
_symmetry_space_group_name_H-M 'P 1'
_symmetry_Int_Tables_number 1
_cell_length_a 5.0153
_cell_length_b 5.0153
_cell_length_c 5.0153
_cell_angle_alpha 90.00
_cell_angle_beta 90.00
_cell_angle_gamma 90.00
loop_
_symmetry_equiv_pos_as_xyz
'x,y,z'
loop_
_atom_site_label
_atom_site_fract_x
_atom_site_fract_y
_atom_site_fract_z
Sc1 0.0000 0.0000 0.0000
Hf1 0.5000 0.5000 0.5000
Mg1 0.0000 0.5000 0.0000
Mg2 0.0000 0.0000 0.5000
Mg3 0.5000 0.0000 0.0000
```



15.
# HfMgSn3

HfMgSn3 at its PBEsol-relaxed geometry (meta-GGA SCAN, Alexandria).

Properties
space-group type	Pm-3m, No. 221
formation energy from the elements	868.9	meV/atom

Geometry as CIF:
```
data_HfMgSn3
_chemical_formula_sum 'Hf1 Mg1 Sn3'
_symmetry_space_group_name_H-M 'P 1'
_symmetry_Int_Tables_number 1
_cell_length_a 5.1692
_cell_length_b 5.1692
_cell_length_c 5.1692
_cell_angle_alpha 90.00
_cell_angle_beta 90.00
_cell_angle_gamma 90.00
loop_
_symmetry_equiv_pos_as_xyz
'x,y,z'
loop_
_atom_site_label
_atom_site_fract_x
_atom_site_fract_y
_atom_site_fract_z
Sn1 0.0000 0.5000 0.0000
Mg1 0.0000 0.0000 0.0000
Sn2 0.0000 0.0000 0.5000
Hf1 0.5000 0.5000 0.5000
Sn3 0.5000 0.0000 0.0000
```



16.
# SrHfMg3

SrHfMg3 at its PBEsol-relaxed geometry (meta-GGA SCAN, Alexandria).

Properties
space-group type	Pm-3m, No. 221
formation energy from the elements	742.4	meV/atom

Geometry as CIF:
```
data_SrHfMg3
_chemical_formula_sum 'Sr1 Hf1 Mg3'
_symmetry_space_group_name_H-M 'P 1'
_symmetry_Int_Tables_number 1
_cell_length_a 5.5311
_cell_length_b 5.5311
_cell_length_c 5.5311
_cell_angle_alpha 90.00
_cell_angle_beta 90.00
_cell_angle_gamma 90.00
loop_
_symmetry_equiv_pos_as_xyz
'x,y,z'
loop_
_atom_site_label
_atom_site_fract_x
_atom_site_fract_y
_atom_site_fract_z
Hf1 0.0000 0.0000 0.0000
Sr1 0.5000 0.5000 0.5000
Mg1 0.5000 0.0000 0.0000
Mg2 0.0000 0.0000 0.5000
Mg3 0.0000 0.5000 0.0000
```



17.
# Sr3HfMg

Sr3HfMg at its PBEsol-relaxed geometry (meta-GGA SCAN, Alexandria).

Properties
space-group type	Pm-3m, No. 221
formation energy from the elements	1021.9	meV/atom

Geometry as CIF:
```
data_Sr3HfMg
_chemical_formula_sum 'Sr3 Hf1 Mg1'
_symmetry_space_group_name_H-M 'P 1'
_symmetry_Int_Tables_number 1
_cell_length_a 6.0818
_cell_length_b 6.0818
_cell_length_c 6.0818
_cell_angle_alpha 90.00
_cell_angle_beta 90.00
_cell_angle_gamma 90.00
loop_
_symmetry_equiv_pos_as_xyz
'x,y,z'
loop_
_atom_site_label
_atom_site_fract_x
_atom_site_fract_y
_atom_site_fract_z
Hf1 0.5000 0.5000 0.5000
Sr1 0.5000 0.0000 0.0000
Sr2 0.0000 0.5000 0.0000
Mg1 0.0000 0.0000 0.0000
Sr3 0.0000 0.0000 0.5000
```



18.
# HfMg2Ta

HfMg2Ta at its PBEsol-relaxed geometry (meta-GGA SCAN, Alexandria).

Properties
space-group type	Fm-3m, No. 225
formation energy from the elements	484.7	meV/atom

Geometry as CIF:
```
data_HfMg2Ta
_chemical_formula_sum 'Hf1 Mg2 Ta1'
_symmetry_space_group_name_H-M 'P 1'
_symmetry_Int_Tables_number 1
_cell_length_a 4.7761
_cell_length_b 4.7761
_cell_length_c 4.7761
_cell_angle_alpha 60.00
_cell_angle_beta 60.00
_cell_angle_gamma 60.00
loop_
_symmetry_equiv_pos_as_xyz
'x,y,z'
loop_
_atom_site_label
_atom_site_fract_x
_atom_site_fract_y
_atom_site_fract_z
Mg1 0.2500 0.2500 0.2500
Ta1 0.5000 0.5000 0.5000
Mg2 0.7500 0.7500 0.7500
Hf1 0.0000 0.0000 0.0000
```



19.
# Hf2Mg2Ta

Hf2Mg2Ta at its PBEsol-relaxed geometry (meta-GGA SCAN, Alexandria).

Properties
space-group type	I4/mmm, No. 139
formation energy from the elements	870.3	meV/atom

Geometry as CIF:
```
data_Hf2Mg2Ta
_chemical_formula_sum 'Hf2 Mg2 Ta1'
_symmetry_space_group_name_H-M 'P 1'
_symmetry_Int_Tables_number 1
_cell_length_a 3.8785
_cell_length_b 3.8785
_cell_length_c 7.4251
_cell_angle_alpha 105.14
_cell_angle_beta 105.14
_cell_angle_gamma 90.00
loop_
_symmetry_equiv_pos_as_xyz
'x,y,z'
loop_
_atom_site_label
_atom_site_fract_x
_atom_site_fract_y
_atom_site_fract_z
Mg1 0.5911 0.5911 0.1822
Hf1 0.7500 0.2500 0.5000
Mg2 0.4089 0.4089 0.8178
Ta1 0.0000 0.0000 0.0000
Hf2 0.2500 0.7500 0.5000
```



20.
# HfMg3Ta

HfMg3Ta at its PBEsol-relaxed geometry (meta-GGA SCAN, Alexandria).

Properties
space-group type	Pm-3m, No. 221
formation energy from the elements	1597.7	meV/atom

Geometry as CIF:
```
data_HfMg3Ta
_chemical_formula_sum 'Hf1 Mg3 Ta1'
_symmetry_space_group_name_H-M 'P 1'
_symmetry_Int_Tables_number 1
_cell_length_a 5.0475
_cell_length_b 5.0475
_cell_length_c 5.0475
_cell_angle_alpha 90.00
_cell_angle_beta 90.00
_cell_angle_gamma 90.00
loop_
_symmetry_equiv_pos_as_xyz
'x,y,z'
loop_
_atom_site_label
_atom_site_fract_x
_atom_site_fract_y
_atom_site_fract_z
Hf1 0.5000 0.5000 0.5000
Ta1 0.0000 0.0000 0.0000
Mg1 0.5000 0.0000 0.0000
Mg2 0.0000 0.0000 0.5000
Mg3 0.0000 0.5000 0.0000
```